# 1
## NaYTlPb (PBE-GGA)

Data for NaYTlPb after structural relaxation.

```
data_NaYTlPb
_chemical_formula_sum 'Na4 Y4 Tl4 Pb4'
_cell_length_a 7.639
_cell_length_b 7.639
_cell_length_c 7.639
_cell_angle_alpha 90.00
_cell_angle_beta 90.00
_cell_angle_gamma 90.00
_space_group_name_H-M_alt 'F -4 3 m'
_space_group_IT_number 216
_space_group_name_Hall 'F -4 2 3'
loop_
_atom_site_label
_atom_site_fract_x
_atom_site_fract_y
_atom_site_fract_z
Na1 0.000 0.000 0.000
Y1 0.000 0.000 0.500
Tl1 0.250 0.250 0.750
Pb1 0.250 0.250 0.250
```

Properties
Energy relative to the lowest polymorph listed for this composition = 45 meV/atom
Energy relative to the elements = -1.01 eV/f.u.
Total magnetic moment = 0.000 μB per cell
E_tot = -3.717 eV per atom

***

# 2
## NaTlZnPb (PBE-GGA)

Data for NaTlZnPb after structural relaxation.

```
data_NaTlZnPb
_chemical_formula_sum 'Na4 Tl4 Zn4 Pb4'
_cell_length_a 7.395
_cell_length_b 7.395
_cell_length_c 7.395
_cell_angle_alpha 90.00
_cell_angle_beta 90.00
_cell_angle_gamma 90.00
_space_group_name_H-M_alt 'F -4 3 m'
_space_group_IT_number 216
_space_group_name_Hall 'F -4 2 3'
loop_
_atom_site_label
_atom_site_fract_x
_atom_site_fract_y
_atom_site_fract_z
Na1 0.000 0.000 0.000
Tl1 0.250 0.250 0.750
Zn1 0.000 0.000 0.500
Pb1 0.250 0.250 0.250
```

Properties
Energy relative to the elements = 0.03 eV/f.u.
Total magnetic moment = 0.000 μB per cell
E_tot = -2.160 eV per atom

***

# 3
## Na2TmPb3 (PBE-GGA)

Data for Na2TmPb3 after structural relaxation.

```
data_Na2TmPb3
_chemical_formula_sum 'Na8 Tm4 Pb12'
_cell_length_a 5.401
_cell_length_b 16.364
_cell_length_c 7.696
_cell_angle_alpha 90.00
_cell_angle_beta 90.00
_cell_angle_gamma 90.00
_space_group_name_H-M_alt 'C m m m'
_space_group_IT_number 65
_space_group_name_Hall '-C 2 2'
loop_
_atom_site_label
_atom_site_fract_x
_atom_site_fract_y
_atom_site_fract_z
Na1 0.000 0.000 0.000
Na2 0.000 0.000 0.500
Na3 0.000 0.335 0.000
Tm1 0.000 0.340 0.500
Pb1 0.000 0.168 0.261
Pb2 0.000 0.500 0.255
```

Properties
Energy relative to the lowest polymorph listed for this composition = 0 meV/atom
Energy relative to the elements = -1.40 eV/f.u.
Total magnetic moment = 0.000 μB per cell
E_tot = -3.273 eV per atom